Entry from Alexandria: a relaxed SrYAlGa crystal (GGA-PBE).

Its formation energy is -110 kJ/mol of formula units. Its electronic total energy is -4.013 eV/atom. The value obtained for the density of states at the Fermi level is 2.89 states/eV per cell.

Cell: 5.3014 5.3014 5.3014 Å, 60.00 60.00 60.00°
Last column: nearest neighbours and their distance in Å.
Atoms (fractional coordinates):
Y 0.2500 0.2500 0.2500  4 Ga 3.25, 4 Al 3.25
Sr 0.7500 0.7500 0.7500  4 Al 3.25, 4 Ga 3.25
Al 0.5000 0.5000 0.5000  4 Y 3.25, 4 Sr 3.25
Ga 0.0000 0.0000 0.0000  4 Sr 3.25, 4 Y 3.25

---

Entry from Alexandria: a relaxed SrAlZn2Ga crystal (GGA-PBE).

Its formation energy is -153 kJ/mol of formula units. Its electronic total energy is -2.518 eV/atom. The value obtained for the density of states at the Fermi level is 2.15 states/eV per cell.

Cell: 4.2988 4.3604 6.3488 Å, 110.08 109.79 90.00°
Last column: nearest neighbours and their distance in Å.
Atoms (fractional coordinates):
Sr 0.4418 0.4418 0.8836  4 Ga 3.32, 8 Zn 3.33-3.56, 4 Al 3.50-3.55
Al 0.1896 0.6896 0.3793  2 Zn 2.62, 2 Ga 2.64
Zn 0.6946 0.1946 0.3893  2 Zn 2.63, 2 Ga 2.63
Zn 0.0587 0.0587 0.1175  1 Ga 2.57, 2 Al 2.62, 2 Zn 2.63
Ga 0.8273 0.8273 0.6547  3 Zn 2.57-2.63, 2 Al 2.64

---

Entry from Alexandria: a relaxed Sr2Al4ZnGa3 crystal (GGA-PBE).

Its formation energy is -326 kJ/mol of formula units. Its electronic total energy is -3.207 eV/atom. The value obtained for the density of states at the Fermi level is 2.89 states/eV per cell.

Cell: 4.4145 4.4145 11.0150 Å, 90.00 90.00 90.00°
Last column: nearest neighbours and their distance in Å.
Atoms (fractional coordinates):
Sr 0.5000 0.0000 0.2537  8 Al 3.38-3.56, 6 Ga 3.38-3.50, 2 Zn 3.50
Sr 0.0000 0.5000 0.7463  8 Al 3.38-3.56, 6 Ga 3.38-3.50, 2 Zn 3.50
Al 0.5000 0.5000 0.0000  4 Ga 2.67
Al 0.0000 0.0000 0.0000  4 Ga 2.67
Al 0.5000 0.0000 0.6292  3 Ga 2.58-2.63, 2 Zn 2.63
Al 0.0000 0.5000 0.3708  3 Ga 2.58-2.63, 2 Zn 2.63
Zn 0.5000 0.5000 0.5000  4 Al 2.63
Ga 0.0000 0.0000 0.5000  4 Al 2.63
Ga 0.5000 0.0000 0.8637  5 Al 2.58-2.67
Ga 0.0000 0.5000 0.1363  5 Al 2.58-2.67

---

Entry from Alexandria: a relaxed SrAl2ZnGa crystal (GGA-PBE).

Its formation energy is -153 kJ/mol of formula units. Its electronic total energy is -3.011 eV/atom. The value obtained for the density of states at the Fermi level is 0.89 states/eV per cell.

Cell: 4.3794 4.3327 6.4045 Å, 109.77 109.99 90.00°
Last column: nearest neighbours and their distance in Å.
Atoms (fractional coordinates):
Sr 0.4407 0.4407 0.8813  4 Ga 3.33, 8 Al 3.35-3.58, 4 Zn 3.53-3.57
Al 0.6941 0.1941 0.3881  2 Ga 2.64, 2 Al 2.67
Al 0.0575 0.0575 0.1149  1 Ga 2.58, 2 Zn 2.64, 2 Al 2.67
Zn 0.1920 0.6920 0.3839  2 Al 2.64, 2 Ga 2.67
Ga 0.8280 0.8280 0.6560  3 Al 2.58-2.64, 2 Zn 2.67

---

Entry from Alexandria: a relaxed Sr2Al3ZnGa4 crystal (GGA-PBE).

Its formation energy is -341 kJ/mol of formula units. Its electronic total energy is -3.151 eV/atom. The value obtained for the density of states at the Fermi level is 1.99 states/eV per cell.

Cell: 4.4028 4.4028 11.0519 Å, 90.00 90.00 90.00°
Last column: nearest neighbours and their distance in Å.
Atoms (fractional coordinates):
Sr 0.5000 0.0000 0.2517  8 Ga 3.36-3.55, 6 Al 3.37-3.52, 2 Zn 3.52
Sr 0.0000 0.5000 0.7483  8 Ga 3.36-3.55, 6 Al 3.37-3.52, 2 Zn 3.52
Al 0.0000 0.0000 0.5000  4 Ga 2.65
Al 0.5000 0.0000 0.8657  5 Ga 2.56-2.65
Al 0.0000 0.5000 0.1343  5 Ga 2.56-2.65
Zn 0.5000 0.5000 0.5000  4 Ga 2.65
Ga 0.5000 0.5000 0.0000  4 Al 2.65
Ga 0.0000 0.0000 0.0000  4 Al 2.65
Ga 0.5000 0.0000 0.6336  3 Al 2.56-2.65, 2 Zn 2.65
Ga 0.0000 0.5000 0.3664  3 Al 2.56-2.65, 2 Zn 2.65

---

Entry from Alexandria: a relaxed SrAl2ZnGa4 crystal (GGA-PBE).

Its formation energy is -109 kJ/mol of formula units. Its electronic total energy is -2.960 eV/atom. The value obtained for the density of states at the Fermi level is 1.96 states/eV per cell.

Cell: 4.6455 4.6455 9.2749 Å, 75.50 75.50 60.00°
Last column: nearest neighbours and their distance in Å.
Atoms (fractional coordinates):
Sr 0.0000 0.0000 0.0000  8 Ga 3.28-3.52
Al 0.7628 0.7628 0.7117  7 Ga 2.77-2.85
Al 0.2372 0.2372 0.2883  7 Ga 2.77-2.85
Zn 0.5000 0.5000 0.5000  8 Ga 2.56-2.84
Ga 0.4040 0.4040 0.7881  1 Zn 2.56, 3 Al 2.77
Ga 0.8678 0.8678 0.3965  4 Al 2.80-2.85, 3 Zn 2.84
Ga 0.1322 0.1322 0.6035  4 Al 2.80-2.85, 3 Zn 2.84
Ga 0.5960 0.5960 0.2119  1 Zn 2.56, 3 Al 2.77

---

Entry from Alexandria: a relaxed SrAl2Zn4Ga crystal (GGA-PBE).

Its formation energy is -51 kJ/mol of formula units. Its electronic total energy is -2.227 eV/atom. The value obtained for the density of states at the Fermi level is 2.79 states/eV per cell.

Cell: 4.4312 4.4312 9.6767 Å, 76.76 76.76 60.00°
Last column: nearest neighbours and their distance in Å.
Atoms (fractional coordinates):
Sr 0.0000 0.0000 0.0000  6 Zn 3.24
Al 0.7590 0.7590 0.7231  6 Zn 2.63-2.77
Al 0.2410 0.2410 0.2769  6 Zn 2.63-2.77
Zn 0.4044 0.4044 0.7869  3 Al 2.63, 1 Ga 2.68
Zn 0.8701 0.8701 0.3896  3 Ga 2.76, 3 Al 2.77, 3 Zn 3.04
Zn 0.1299 0.1299 0.6104  3 Ga 2.76, 3 Al 2.77, 3 Zn 3.04
Zn 0.5956 0.5956 0.2131  3 Al 2.63, 1 Ga 2.68
Ga 0.5000 0.5000 0.5000  8 Zn 2.68-2.76

---

Entry from Alexandria: a relaxed Sr2AlZn4Ga3 crystal (GGA-PBE).

Its formation energy is -318 kJ/mol of formula units. Its electronic total energy is -2.458 eV/atom. The value obtained for the density of states at the Fermi level is 5.20 states/eV per cell.

Cell: 4.3592 4.3592 10.9759 Å, 90.00 90.00 90.00°
Last column: nearest neighbours and their distance in Å.
Atoms (fractional coordinates):
Sr 0.5000 0.0000 0.2461  6 Ga 3.34-3.54, 8 Zn 3.34-3.47, 2 Al 3.54
Sr 0.0000 0.5000 0.7539  6 Ga 3.34-3.54, 8 Zn 3.34-3.47, 2 Al 3.54
Al 0.5000 0.5000 0.5000  4 Zn 2.64
Zn 0.5000 0.5000 0.0000  4 Ga 2.61
Zn 0.0000 0.0000 0.0000  4 Ga 2.61
Zn 0.5000 0.0000 0.6360  3 Ga 2.57-2.64, 2 Al 2.64
Zn 0.0000 0.5000 0.3640  3 Ga 2.57-2.64, 2 Al 2.64
Ga 0.0000 0.0000 0.5000  4 Zn 2.64
Ga 0.5000 0.0000 0.8700  5 Zn 2.57-2.61
Ga 0.0000 0.5000 0.1300  5 Zn 2.57-2.61

---

Entry from Alexandria: a relaxed Sr3AlZn6Ga2 crystal (GGA-PBE).

Its formation energy is -161 kJ/mol of formula units. Its electronic total energy is -2.013 eV/atom. The value obtained for the density of states at the Fermi level is 5.83 states/eV per cell.

Cell: 6.4238 6.4238 8.3040 Å, 90.00 90.00 120.00°
Last column: nearest neighbours and their distance in Å.
Atoms (fractional coordinates):
Sr 0.3333 0.6667 0.7375  1 Ga 3.15, 9 Zn 3.34-3.43
Sr 0.6667 0.3333 0.2625  1 Ga 3.15, 9 Zn 3.34-3.43
Sr 0.0000 0.0000 0.0000  6 Zn 3.75, 6 Ga 3.83, 2 Al 4.15
Al 0.0000 0.0000 0.5000  6 Zn 2.45
Zn 0.6065 0.8032 0.3666  1 Al 2.45, 1 Ga 2.57, 2 Zn 2.63
Zn 0.1968 0.3935 0.3666  1 Al 2.45, 1 Ga 2.57, 2 Zn 2.63
Zn 0.1968 0.8032 0.3666  1 Al 2.45, 1 Ga 2.57, 2 Zn 2.63
Zn 0.8032 0.6065 0.6334  1 Al 2.45, 1 Ga 2.57, 2 Zn 2.63
Zn 0.3935 0.1968 0.6334  1 Al 2.45, 1 Ga 2.57, 2 Zn 2.63
Zn 0.8032 0.1968 0.6334  1 Al 2.45, 1 Ga 2.57, 2 Zn 2.63
Ga 0.6667 0.3333 0.8835  3 Zn 2.57
Ga 0.3333 0.6667 0.1165  3 Zn 2.57

---

Entry from Alexandria: a relaxed Sr3AlZn2Ga6 crystal (GGA-PBE).

Its formation energy is -167 kJ/mol of formula units. Its electronic total energy is -2.602 eV/atom. The value obtained for the density of states at the Fermi level is 5.56 states/eV per cell.

Cell: 6.4881 6.4881 8.4384 Å, 90.00 90.00 120.00°
Last column: nearest neighbours and their distance in Å.
Atoms (fractional coordinates):
Sr 0.3333 0.6667 0.7020  1 Zn 3.16, 9 Ga 3.28-3.43
Sr 0.6667 0.3333 0.2980  1 Zn 3.16, 9 Ga 3.28-3.43
Sr 0.0000 0.0000 0.0000  6 Ga 3.61, 6 Zn 3.80
Al 0.0000 0.0000 0.5000  6 Ga 2.57
Zn 0.6667 0.3333 0.9233  3 Ga 2.72
Zn 0.3333 0.6667 0.0767  3 Ga 2.72
Ga 0.6104 0.8052 0.3404  1 Al 2.57, 2 Ga 2.70, 1 Zn 2.72
Ga 0.1948 0.3896 0.3404  1 Al 2.57, 2 Ga 2.70, 1 Zn 2.72
Ga 0.1948 0.8052 0.3404  1 Al 2.57, 2 Ga 2.70, 1 Zn 2.72
Ga 0.8052 0.6104 0.6596  1 Al 2.57, 2 Ga 2.70, 1 Zn 2.72
Ga 0.3896 0.1948 0.6596  1 Al 2.57, 2 Ga 2.70, 1 Zn 2.72
Ga 0.8052 0.1948 0.6596  1 Al 2.57, 2 Ga 2.70, 1 Zn 2.72

---

Entry from Alexandria: a relaxed SrAlZn6Ga crystal (GGA-PBE).

Its formation energy is 93 kJ/mol of formula units. Its electronic total energy is -1.681 eV/atom. The value obtained for the density of states at the Fermi level is 6.57 states/eV per cell.

Cell: 6.8034 7.0708 10.1341 Å, 110.42 109.61 90.00°
Last column: nearest neighbours and their distance in Å.
Atoms (fractional coordinates):
Sr 0.9520 0.7020 0.9039  7 Zn 3.28-3.62
Sr 0.0480 0.2980 0.0961  7 Zn 3.28-3.62
Al 0.5000 0.5000 0.0000  6 Zn 2.60-2.74
Al 0.5000 0.0000 0.0000  6 Zn 2.60-2.74
Zn 0.3817 0.6317 0.7634  4 Zn 2.55, 2 Al 2.74
Zn 0.8633 0.1133 0.7267  4 Zn 2.50, 2 Ga 2.63
Zn 0.8179 0.0663 0.2492  4 Zn 2.50-2.71, 1 Al 2.60, 1 Ga 2.63
Zn 0.4313 0.6829 0.2492  4 Zn 2.50-2.71, 1 Al 2.60, 1 Ga 2.63
Zn 0.4313 0.0663 0.2492  4 Zn 2.50-2.71, 1 Al 2.60, 1 Ga 2.63
Zn 0.8179 0.6829 0.2492  4 Zn 2.50-2.71, 1 Al 2.60, 1 Ga 2.63
Zn 0.6183 0.3683 0.2366  4 Zn 2.55, 2 Al 2.74
Zn 0.1367 0.8867 0.2733  4 Zn 2.50, 2 Ga 2.63
Zn 0.1821 0.9337 0.7508  4 Zn 2.50-2.71, 1 Al 2.60, 1 Ga 2.63
Zn 0.5687 0.3171 0.7508  4 Zn 2.50-2.71, 1 Al 2.60, 1 Ga 2.63
Zn 0.5687 0.9337 0.7508  4 Zn 2.50-2.71, 1 Al 2.60, 1 Ga 2.63
Zn 0.1821 0.3171 0.7508  4 Zn 2.50-2.71, 1 Al 2.60, 1 Ga 2.63
Ga 0.5000 0.0000 0.5000  6 Zn 2.63
Ga 0.0000 0.0000 0.5000  6 Zn 2.63

---

Entry from Alexandria: a relaxed Ta2Al4Ga3 crystal (GGA-PBE).

Its formation energy is -166 kJ/mol of formula units. Its electronic total energy is -5.498 eV/atom. The value obtained for the density of states at the Fermi level is 3.58 states/eV per cell.

Cell: 3.7540 5.0724 8.5716 Å, 77.09 77.35 68.28°
Last column: nearest neighbours and their distance in Å.
Atoms (fractional coordinates):
Ta 0.3435 0.0967 0.2162  5 Ga 2.69-2.89, 7 Al 2.86-2.97
Ta 0.6565 0.9033 0.7838  5 Ga 2.69-2.89, 7 Al 2.86-2.97
Al 0.6717 0.5470 0.1096  4 Al 2.68-2.71, 3 Ga 2.87-2.88, 4 Ta 2.87-2.97
Al 0.9856 0.3518 0.6770  2 Al 2.68, 6 Ga 2.81-2.99, 3 Ta 2.86-2.88
Al 0.0144 0.6482 0.3230  2 Al 2.68, 6 Ga 2.81-2.99, 3 Ta 2.86-2.88
Al 0.3283 0.4530 0.8904  4 Al 2.68-2.71, 3 Ga 2.87-2.88, 4 Ta 2.87-2.97
Ga 0.3282 0.7977 0.5459  3 Ga 2.70-3.02, 5 Al 2.81-2.99, 3 Ta 2.84-2.89
Ga 0.0000 0.0000 0.0000  4 Ta 2.69, 8 Al 2.87-2.94
Ga 0.6718 0.2023 0.4541  3 Ga 2.70-3.02, 5 Al 2.81-2.99, 3 Ta 2.84-2.89